(1)
VASP calculation (GGA-PBE) on an optimized crystal structure of PaAgTe4.

The structure belongs to space group P2_1/c (No. 14); the cell edges are 6.9662, 7.2048 and 8.8466 Å and the angles 90.00°, 115.18° and 90.00°. The distinct sites, in fractional coordinates, are Pa at (0.0000, 0.0000, 0.0000), Ag at (0.5000, 0.0000, 0.0000), Te at (0.1652, 0.2225, 0.3373) and Te at (0.3403, 0.7294, 0.1487).

The calculated total energy comes out at -4.448 eV/atom. The value obtained for the uncorrected formation energy is -296 meV per atom. The calculation puts the magnetic moment at 0.0 μB/f.u.

(2)
VASP calculation (GGA-PBE) on an optimized crystal structure of RhF6.

The structure belongs to space group Pnma (No. 62); the cell edges are 9.6498, 8.8416 and 5.1108 Å and the angles 90.00°, 90.00° and 90.00°. The distinct sites, in fractional coordinates, are Rh at (0.1290, 0.2500, 0.0869), F at (0.0129, 0.2500, 0.7936), F at (0.0190, 0.1004, 0.2422), F at (0.2391, 0.1005, 0.9324) and F at (0.2446, 0.2500, 0.3812).

The calculated total energy comes out at -3.899 eV/atom. The value obtained for the uncorrected formation energy is -1245 meV per atom. The calculation puts the magnetic moment at 3.0 μB/f.u.

(3)
VASP calculation (GGA-PBE) on an optimized crystal structure of CuPdIN2.

The structure belongs to space group P4/mmm (No. 123); the cell edges are 3.8160, 3.8160 and 6.6929 Å and the angles 90.00°, 90.00° and 90.00°. The distinct sites, in fractional coordinates, are Cu at (0.0000, 0.0000, 0.0000), Pd at (0.5000, 0.5000, 0.5000), I at (0.0000, 0.0000, 0.5000) and N at (0.0000, 0.5000, 0.0000).

The value obtained for the polymorph energy (0 for the lowest one) is 0.0798 eV/atom. The calculated total energy comes out at -4.041 eV/atom. The value obtained for the uncorrected formation energy is 1457 meV per atom. The calculation puts the magnetic moment at 3.8 μB/f.u.

(4)
VASP calculation (GGA-PBE) on an optimized crystal structure of Ac2Ga6CoOs.

The structure belongs to space group R-3m (No. 166, hexagonal axes); the cell edges are 6.3974, 6.3974 and 17.7269 Å and the angles 90.00°, 90.00° and 120.00°. The distinct sites, in fractional coordinates, are Ac at (0.0000, 0.0000, 0.2125), Ga at (0.0410, 0.5205, 0.2752), Co at (0.0000, 0.0000, 0.0000) and Os at (0.0000, 0.0000, 0.5000).

The calculated total energy comes out at -4.881 eV/atom. Its formation energy is -410 meV per atom. The calculation puts the magnetic moment at 0.0 μB/f.u.

(5)
VASP calculation (GGA-PBE) on an optimized crystal structure of AlHSO5.

The structure belongs to space group C2/c (No. 15); the cell edges are 7.1634, 7.2157 and 7.0706 Å and the angles 90.00°, 118.88° and 90.00°. The distinct sites, in fractional coordinates, are Al at (0.0000, 0.0000, 0.0000), H at (0.0000, 0.2205, 0.2500), S at (0.0000, 0.3707, 0.7500), O at (0.0000, 0.0851, 0.2500), O at (0.0113, 0.2520, 0.5840) and O at (0.1871, 0.4939, 0.8510).

The calculated total energy comes out at -6.331 eV/atom. The calculation puts the magnetic moment at 0.0 μB/f.u.

(6)
VASP calculation (GGA-PBE) on an optimized crystal structure of Sr2ZnCr.

The structure belongs to space group Cm (No. 8); the cell edges are 12.5435, 3.9608 and 5.5022 Å and the angles 90.00°, 115.59° and 90.00°. The distinct sites, in fractional coordinates, are Sr at (0.0000, 0.0000, 0.0000), Sr at (0.2081, 0.0000, 0.7052), Zn at (0.2645, 0.5000, 0.2611) and Cr at (0.4194, 0.0000, 0.4190).

The calculated total energy comes out at -3.265 eV/atom. Its formation energy is 300 meV per atom. The calculation puts the magnetic moment at 4.3 μB/f.u.

(7)
VASP calculation (GGA-PBE) on an optimized crystal structure of Ba2SrH12Rh3.

The structure belongs to space group R-3m (No. 166, hexagonal axes); the cell edges are 6.7769, 6.7769 and 15.6613 Å and the angles 90.00°, 90.00° and 120.00°. The distinct sites, in fractional coordinates, are Ba at (0.0000, 0.0000, 0.1102), Sr at (0.0000, 0.0000, 0.5000), H at (0.0403, 0.5202, 0.8940), H at (0.0770, 0.5385, 0.3232) and Rh at (0.0000, 0.5000, 0.0000).

The calculated total energy comes out at -4.182 eV/atom. The calculation puts the magnetic moment at 0.0 μB/f.u.

(8)
VASP calculation (GGA-PBE) on an optimized crystal structure of PmGdDy2.

The structure belongs to space group Fm-3m (No. 225); the cell edges are 8.0634, 8.0634 and 8.0634 Å and the angles 90.00°, 90.00° and 90.00°. The distinct sites, in fractional coordinates, are Pm at (0.0000, 0.0000, 0.0000), Gd at (0.0000, 0.0000, 0.5000) and Dy at (0.2500, 0.2500, 0.2500).

The value obtained for the polymorph energy (0 for the lowest one) is 0.1029 eV/atom. The calculated total energy comes out at -6.891 eV/atom. Its formation energy is 118 meV per atom. The calculation puts the magnetic moment at 8.3 μB/f.u.

(9)
VASP calculation (GGA-PBE) on an optimized crystal structure of Pr2Ho3In.

The structure belongs to space group Imma (No. 74); the cell edges are 5.1563, 9.3135 and 15.6401 Å and the angles 90.00°, 90.00° and 90.00°. The distinct sites, in fractional coordinates, are Pr at (0.0000, 0.2500, 0.0249), Pr at (0.0000, 0.2500, 0.3254), Ho at (0.0000, 0.0000, 0.5000), Ho at (0.0000, 0.0442, 0.8283) and In at (0.0000, 0.2500, 0.6455).

The value obtained for the polymorph energy (0 for the lowest one) is 0.0078 eV/atom. The calculated total energy comes out at -4.473 eV/atom. Its formation energy is -134 meV per atom. The calculation puts the magnetic moment at 0.0 μB/f.u.

(10)
VASP calculation (GGA-PBE) on an optimized crystal structure of Tb5Pr12Pu.

The structure belongs to space group C2/m (No. 12); the cell edges are 18.9933, 10.9646 and 6.3360 Å and the angles 90.00°, 109.14° and 90.00°. The distinct sites, in fractional coordinates, are Tb at (0.0000, 0.0000, 0.0000), Tb at (0.1654, 0.5000, 0.9960), Tb at (0.1670, 0.0000, 0.5016), Pr at (0.0000, 0.1682, 0.5000), Pr at (0.0000, 0.3366, 0.0000), Pr at (0.1652, 0.3360, 0.5001), Pr at (0.1669, 0.1654, 0.0009) and Pu at (0.0000, 0.5000, 0.5000).

The calculated total energy comes out at -5.230 eV/atom. Its formation energy is 38 meV per atom. The calculation puts the magnetic moment at 6.2 μB/f.u.

(11)
VASP calculation (GGA-PBE) on an optimized crystal structure of Ta2PtNCl.

The structure belongs to space group P4/mmm (No. 123); the cell edges are 5.1743, 5.1743 and 3.6963 Å and the angles 90.00°, 90.00° and 90.00°. The distinct sites, in fractional coordinates, are Ta at (0.0000, 0.5000, 0.0000), Pt at (0.0000, 0.0000, 0.0000), N at (0.0000, 0.0000, 0.5000) and Cl at (0.5000, 0.5000, 0.5000).

The calculated total energy comes out at -6.483 eV/atom. The value obtained for the uncorrected formation energy is 1501 meV per atom. The calculation puts the magnetic moment at 0.0 μB/f.u.

(12)
VASP calculation (GGA-PBE) on an optimized crystal structure of CeNdZr2.

The structure belongs to space group P4/mmm (No. 123); the cell edges are 4.6532, 4.6532 and 4.9711 Å and the angles 90.00°, 90.00° and 90.00°. The distinct sites, in fractional coordinates, are Ce at (0.0000, 0.0000, 0.0000), Nd at (0.5000, 0.5000, 0.0000) and Zr at (0.0000, 0.5000, 0.5000).

The value obtained for the polymorph energy (0 for the lowest one) is 0.0050 eV/atom. The calculated total energy comes out at -6.763 eV/atom. Its formation energy is 186 meV per atom. The calculation puts the magnetic moment at 0.0 μB/f.u.

(13)
VASP calculation (GGA-PBE) on an optimized crystal structure of RbCd2CuN.

The structure belongs to space group P4/mmm (No. 123); the cell edges are 6.0556, 6.0556 and 3.5660 Å and the angles 90.00°, 90.00° and 90.00°. The distinct sites, in fractional coordinates, are Rb at (0.0000, 0.0000, 0.0000), Cd at (0.0000, 0.5000, 0.5000), Cu at (0.5000, 0.5000, 0.0000) and N at (0.5000, 0.5000, 0.5000).

The calculated total energy comes out at -2.514 eV/atom. The value obtained for the uncorrected formation energy is 530 meV per atom. The calculation puts the magnetic moment at 0.0 μB/f.u.

(14)
VASP calculation (GGA-PBE) on an optimized crystal structure of YHo9Tm2.

The structure belongs to space group P6/mmm (No. 191); the cell edges are 11.1241, 11.1241 and 3.4794 Å and the angles 90.00°, 90.00° and 120.00°. The distinct sites, in fractional coordinates, are Y at (0.0000, 0.0000, 0.0000), Ho at (0.0000, 0.5000, 0.0000), Ho at (0.1773, 0.3547, 0.5000) and Tm at (0.3333, 0.6667, 0.0000).

The value obtained for the polymorph energy (0 for the lowest one) is 0.0245 eV/atom. The calculated total energy comes out at -4.669 eV/atom. Its formation energy is 48 meV per atom. The calculation puts the magnetic moment at 0.0 μB/f.u.

(15)
VASP calculation (GGA-PBE) on an optimized crystal structure of V2HgRuAu.

The structure belongs to space group P4/mmm (No. 123); the cell edges are 4.7139, 4.7139 and 4.9894 Å and the angles 90.00°, 90.00° and 90.00°. The distinct sites, in fractional coordinates, are V at (0.0000, 0.5000, 0.0000), Hg at (0.0000, 0.0000, 0.5000), Ru at (0.5000, 0.5000, 0.5000) and Au at (0.0000, 0.0000, 0.0000).

The calculated total energy comes out at -4.351 eV/atom. Its formation energy is 1867 meV per atom. The calculation puts the magnetic moment at 0.0 μB/f.u.

(16)
VASP calculation (GGA-PBE) on an optimized crystal structure of Ca2TlSb.

The structure belongs to space group I-4m2 (No. 119); the cell edges are 4.5724, 4.5724 and 11.5040 Å and the angles 90.00°, 90.00° and 90.00°. The distinct sites, in fractional coordinates, are Ca at (0.0000, 0.0000, 0.0000), Ca at (0.0000, 0.5000, 0.2500), Tl at (0.0000, 0.0000, 0.5000) and Sb at (0.0000, 0.5000, 0.7500).

The value obtained for the polymorph energy (0 for the lowest one) is 0.1008 eV/atom. The calculated total energy comes out at -3.185 eV/atom. The value obtained for the uncorrected formation energy is -562 meV per atom. The calculation puts the magnetic moment at 0.0 μB/f.u.

(17)
VASP calculation (GGA-PBE) on an optimized crystal structure of TiIn2SbAs.

The structure belongs to space group P4/mmm (No. 123); the cell edges are 5.1524, 5.1524 and 5.6087 Å and the angles 90.00°, 90.00° and 90.00°. The distinct sites, in fractional coordinates, are Ti at (0.0000, 0.0000, 0.0000), In at (0.0000, 0.5000, 0.5000), Sb at (0.5000, 0.5000, 0.0000) and As at (0.5000, 0.5000, 0.5000).

The calculated total energy comes out at -3.573 eV/atom. The value obtained for the uncorrected formation energy is 856 meV per atom. The calculation puts the magnetic moment at 0.2 μB/f.u.

(18)
VASP calculation (GGA-PBE) on an optimized crystal structure of GaHSN2.

The structure belongs to space group P4/mmm (No. 123); the cell edges are 3.8154, 3.8154 and 5.2954 Å and the angles 90.00°, 90.00° and 90.00°. The distinct sites, in fractional coordinates, are Ga at (0.0000, 0.0000, 0.0000), H at (0.5000, 0.5000, 0.5000), S at (0.0000, 0.0000, 0.5000) and N at (0.0000, 0.5000, 0.0000).

The value obtained for the polymorph energy (0 for the lowest one) is 0.0201 eV/atom. The calculated total energy comes out at -3.609 eV/atom. The calculation puts the magnetic moment at 3.9 μB/f.u.

(19)
VASP calculation (GGA-PBE) on an optimized crystal structure of RbAcTeI.

The structure belongs to space group R3m (No. 160, hexagonal axes); the cell edges are 4.6930, 4.6930 and 27.4660 Å and the angles 90.00°, 90.00° and 120.00°. The distinct sites, in fractional coordinates, are Rb at (0.0000, 0.0000, 0.0000), Ac at (0.0000, 0.0000, 0.1812), Te at (0.0000, 0.0000, 0.5831) and I at (0.0000, 0.0000, 0.7674).

The value obtained for the polymorph energy (0 for the lowest one) is 0.0000 eV/atom. The calculated total energy comes out at -3.704 eV/atom. The value obtained for the uncorrected formation energy is -1262 meV per atom. The calculation puts the magnetic moment at 0.0 μB/f.u.

(20)
VASP calculation (GGA-PBE) on an optimized crystal structure of TeAsIr2.

The structure belongs to space group Pm (No. 6); the cell edges are 4.0393, 4.0393 and 5.7482 Å and the angles 90.00°, 90.17° and 90.00°. The distinct sites, in fractional coordinates, are Te at (0.0000, 0.0000, 0.0000), As at (0.4976, 0.5000, 0.4674), Ir at (0.4987, 0.0000, 0.7135) and Ir at (0.9986, 0.5000, 0.7135).

The value obtained for the polymorph energy (0 for the lowest one) is 0.0000 eV/atom. The calculated total energy comes out at -6.510 eV/atom. The value obtained for the uncorrected formation energy is -131 meV per atom. The calculation puts the magnetic moment at 0.0 μB/f.u.